# La2BeH

Crystalline La2BeH at its relaxed geometry (PBE-GGA, Alexandria via LeMat-Bulk).

abc: 4.9230 4.9230 4.9230
angles: 60.00 60.00 60.00
Last column: nearest neighbours and their distance in Å.
Atoms (fractional coordinates):
1 Be 0.5000 0.5000 0.5000  8 La 3.01
2 H 0.0000 0.0000 0.0000  8 La 3.01
3 La 0.2500 0.2500 0.2500  4 Be 3.01, 4 H 3.01
4 La 0.7500 0.7500 0.7500  4 H 3.01, 4 Be 3.01

Summary:
SG	No. 225

***

# LaBeH

Crystalline LaBeH at its relaxed geometry (PBE-GGA, Alexandria via LeMat-Bulk).

abc: 4.0988 4.0964 7.0388
angles: 106.98 90.00 120.02
Last column: nearest neighbours and their distance in Å.
Atoms (fractional coordinates):
1 Be 0.1105 0.2210 0.4886  3 Be 2.37-2.38
2 Be 0.7657 0.5313 0.4533  1 H 1.57
3 H 0.9414 0.8827 0.9814  6 La 2.71-2.83, 3 H 2.83
4 H 0.6861 0.3721 0.2163  1 Be 1.57
5 La 0.3412 0.6824 0.1829  3 H 2.38
6 La 0.5312 0.0625 0.7489  4 H 2.82-3.10, 6 Be 2.93-3.07

Summary:
SG	No. 8

***

# La2BeH

Crystalline La2BeH at its relaxed geometry (PBE-GGA, Alexandria via LeMat-Bulk).

abc: 5.2705 5.2705 8.0112
angles: 70.80 70.80 90.00
Last column: nearest neighbours and their distance in Å.
Atoms (fractional coordinates):
1 Be 0.0000 0.0000 0.0000  4 La 2.74
2 Be 0.7500 0.2500 0.5000  4 La 2.74
3 H 0.5000 0.5000 0.0000  4 La 2.43
4 H 0.2500 0.7500 0.5000  4 La 2.43
5 La 0.5671 0.1250 0.2500  2 H 2.43
6 La 0.1829 0.6250 0.2500  2 H 2.43
7 La 0.3750 0.4329 0.7500  2 H 2.43
8 La 0.8750 0.8171 0.7500  2 H 2.43

Summary:
SG	No. 122

***

Computed D(E_F) (states/eV/f.u.) in order:
4.81; 1.97; 4.33
Computed offset from the most stable computed form (eV/atom) in order:
0.000; 0.000; 0.095